A:
## TeAuCl2 (PBE-GGA)

Data for TeAuCl2 after structural relaxation.

As for the calculated density: 7.09 g/cm³. The crystal system is cubic. The magnetic moment is 1.215 μB/f.u.

It has space group Fm-3m (No. 225), with a = 7.181 Å, b = 7.181 Å, c = 7.181 Å, α = 90.00°, β = 90.00° and γ = 90.00°. The inequivalent atoms are Te at (0.000, 0.000, 0.000), Au at (0.000, 0.000, 0.500) and Cl at (0.250, 0.250, 0.250).

***

B:
## TeAuCl2 (PBE-GGA)

Data for TeAuCl2 after structural relaxation.

As for the calculated density: 7.61 g/cm³. The crystal system is cubic. The magnetic moment is 0.000 μB/f.u.

It has space group F-43m (No. 216), with a = 7.014 Å, b = 7.014 Å, c = 7.014 Å, α = 90.00°, β = 90.00° and γ = 90.00°. The inequivalent atoms are Te at (0.000, 0.000, 0.000), Au at (0.250, 0.250, 0.750), Cl at (0.000, 0.000, 0.500) and Cl at (0.250, 0.250, 0.250).

***

C:
## TeAuCl2 (PBE-GGA)

Data for TeAuCl2 after structural relaxation.

As for the calculated density: 7.38 g/cm³. The crystal system is orthorhombic. The magnetic moment is 0.000 μB/f.u.

It has space group Cmmm (No. 65), with a = 6.432 Å, b = 8.556 Å, c = 3.232 Å, α = 90.00°, β = 90.00° and γ = 90.00°. The inequivalent atoms are Te at (0.000, 0.000, 0.000), Au at (0.000, 0.500, 0.000) and Cl at (0.250, 0.250, 0.500).

***

D:
## TeAuCl2 (PBE-GGA)

Data for TeAuCl2 after structural relaxation.

As for the calculated density: 7.41 g/cm³. The crystal system is tetragonal. The magnetic moment is 0.000 μB/f.u.

It has space group I4/mmm (No. 139), with a = 4.429 Å, b = 4.429 Å, c = 9.030 Å, α = 90.00°, β = 90.00° and γ = 90.00°. The inequivalent atoms are Te at (0.000, 0.000, 0.000), Au at (0.000, 0.000, 0.500) and Cl at (0.000, 0.500, 0.250).

***

Energy relative to the most stable one, in meV per atom: A 221; B 0; C 72; D 115

***

A:
## TeAuCl2 (PBE-GGA)

Data for TeAuCl2 after structural relaxation.

As for the calculated density: 7.36 g/cm³. The crystal system is tetragonal. The magnetic moment is 0.000 μB/f.u.

It has space group P4/mmm (No. 123), with a = 4.474 Å, b = 4.474 Å, c = 4.457 Å, α = 90.00°, β = 90.00° and γ = 90.00°. The inequivalent atoms are Te at (0.000, 0.000, 0.000), Au at (0.500, 0.500, 0.000) and Cl at (0.000, 0.500, 0.500).

***

B:
## TeAuCl2 (PBE-GGA)

Data for TeAuCl2 after structural relaxation.

As for the calculated density: 5.33 g/cm³. The crystal system is orthorhombic. The magnetic moment is 0.978 μB/f.u.

It has space group Imm2 (No. 44), with a = 3.763 Å, b = 7.392 Å, c = 8.866 Å, α = 90.00°, β = 90.00° and γ = 90.00°. The inequivalent atoms are Te at (0.000, 0.000, 0.000), Au at (0.000, 0.500, 0.711), Cl at (0.000, 0.000, 0.398) and Cl at (0.000, 0.500, 0.261).

***

Energy relative to the most stable one, in meV per atom: A 546; B 0

***

A:
## TeAu2Cl (PBE-GGA)

Data for TeAu2Cl after structural relaxation.

As for the calculated density: 9.25 g/cm³. The crystal system is orthorhombic. The magnetic moment is 0.000 μB/f.u.

It has space group Cmm2 (No. 35), with a = 3.763 Å, b = 6.210 Å, c = 8.555 Å, α = 90.00°, β = 90.00° and γ = 90.00°. The inequivalent atoms are Te at (0.000, 0.000, 0.000), Au at (0.000, 0.000, 0.443), Au at (0.000, 0.500, 0.223) and Cl at (0.000, 0.500, 0.638).

***

B:
## TeAu2Cl (PBE-GGA)

Data for TeAu2Cl after structural relaxation.

As for the calculated density: 9.68 g/cm³. The crystal system is trigonal. The magnetic moment is 0.000 μB/f.u.

It has space group R-3m (No. 166, hexagonal axes), with a = 4.0287 Å, b = 4.0287 Å, c = 20.3906 Å, α = 90.00°, β = 90.00° and γ = 120.00°. The inequivalent atoms are Te at (0.0000, 0.0000, 0.0000), Au at (0.0000, 0.0000, 0.2553) and Cl at (0.0000, 0.0000, 0.5000).

***

C:
## TeAu2Cl (PBE-GGA)

Data for TeAu2Cl after structural relaxation.

As for the calculated density: 10.87 g/cm³. The crystal system is cubic. The magnetic moment is 0.000 μB/f.u.

It has space group F-43m (No. 216), with a = 6.981 Å, b = 6.981 Å, c = 6.981 Å, α = 90.00°, β = 90.00° and γ = 90.00°. The inequivalent atoms are Te at (0.000, 0.000, 0.000), Au at (0.000, 0.000, 0.500), Au at (0.250, 0.250, 0.250) and Cl at (0.250, 0.250, 0.750).

***

D:
## TeAu2Cl (PBE-GGA)

Data for TeAu2Cl after structural relaxation.

As for the calculated density: 9.07 g/cm³. The crystal system is monoclinic. The magnetic moment is 0.000 μB/f.u.

It has space group Pm (No. 6), with a = 3.307 Å, b = 3.891 Å, c = 8.089 Å, α = 90.00°, β = 101.59° and γ = 90.00°. The inequivalent atoms are Te at (0.000, 0.000, 0.000), Au at (0.780, 0.000, 0.543), Au at (0.891, 0.500, 0.774) and Cl at (0.683, 0.500, 0.341).

***

Energy relative to the most stable one, in meV per atom: A 83; B 66; C 416; D 0

***

A:
## TeAu2Cl (PBE-GGA)

Data for TeAu2Cl after structural relaxation.

As for the calculated density: 7.65 g/cm³. The crystal system is tetragonal. The magnetic moment is 0.000 μB/f.u.

It has space group I-42d (No. 122), with a = 6.225 Å, b = 6.225 Å, c = 12.474 Å, α = 90.00°, β = 90.00° and γ = 90.00°. The inequivalent atoms are Te at (0.000, 0.000, 0.000), Au at (0.234, 0.250, 0.125) and Cl at (0.000, 0.000, 0.500).

***

B:
## TeAu2Cl (PBE-GGA)

Data for TeAu2Cl after structural relaxation.

As for the calculated density: 10.35 g/cm³. The crystal system is tetragonal. The magnetic moment is 0.000 μB/f.u.

It has space group I4/mmm (No. 139), with a = 5.658 Å, b = 5.658 Å, c = 5.584 Å, α = 90.00°, β = 90.00° and γ = 90.00°. The inequivalent atoms are Te at (0.000, 0.000, 0.000), Au at (0.000, 0.500, 0.250) and Cl at (0.000, 0.000, 0.500).

***

C:
## TeAu2Cl (PBE-GGA)

Data for TeAu2Cl after structural relaxation.

As for the calculated density: 10.79 g/cm³. The crystal system is tetragonal. The magnetic moment is 0.000 μB/f.u.

It has space group I-4m2 (No. 119), with a = 4.562 Å, b = 4.562 Å, c = 8.237 Å, α = 90.00°, β = 90.00° and γ = 90.00°. The inequivalent atoms are Te at (0.000, 0.000, 0.000), Au at (0.000, 0.000, 0.500), Au at (0.000, 0.500, 0.750) and Cl at (0.000, 0.500, 0.250).

***

Energy relative to the most stable one, in meV per atom: A 0; B 227; C 320

***

A:
## TeAu2Cl (PBE-GGA)

Data for TeAu2Cl after structural relaxation.

As for the calculated density: 8.35 g/cm³. The crystal system is monoclinic. The magnetic moment is 0.000 μB/f.u.

It has space group Cm (No. 8), with a = 7.980 Å, b = 4.023 Å, c = 7.897 Å, α = 90.00°, β = 119.06° and γ = 90.00°. The inequivalent atoms are Te at (0.000, 0.000, 0.000), Au at (0.246, 0.500, 0.146), Au at (0.483, 0.000, 0.370) and Cl at (0.141, 0.000, 0.579).

***

B:
## TeAu2Cl (PBE-GGA)

Data for TeAu2Cl after structural relaxation.

As for the calculated density: 10.66 g/cm³. The crystal system is cubic. The magnetic moment is 0.000 μB/f.u.

It has space group Fm-3m (No. 225), with a = 7.028 Å, b = 7.028 Å, c = 7.028 Å, α = 90.00°, β = 90.00° and γ = 90.00°. The inequivalent atoms are Te at (0.000, 0.000, 0.000), Au at (0.250, 0.250, 0.250) and Cl at (0.000, 0.000, 0.500).

***

C:
## TeAu2Cl (PBE-GGA)

Data for TeAu2Cl after structural relaxation.

As for the calculated density: 10.29 g/cm³. The crystal system is orthorhombic. The magnetic moment is 0.000 μB/f.u.

It has space group Pmmm (No. 47), with a = 3.019 Å, b = 4.842 Å, c = 6.146 Å, α = 90.00°, β = 90.00° and γ = 90.00°. The inequivalent atoms are Te at (0.000, 0.000, 0.000), Au at (0.000, 0.500, 0.500), Au at (0.500, 0.000, 0.500) and Cl at (0.500, 0.500, 0.000).

***

D:
## TeAu2Cl (PBE-GGA)

Data for TeAu2Cl after structural relaxation.

As for the calculated density: 10.40 g/cm³. The crystal system is orthorhombic. The magnetic moment is 0.000 μB/f.u.

It has space group Cmmm (No. 65), with a = 5.638 Å, b = 7.952 Å, c = 3.969 Å, α = 90.00°, β = 90.00° and γ = 90.00°. The inequivalent atoms are Te at (0.000, 0.000, 0.000), Au at (0.250, 0.250, 0.500) and Cl at (0.000, 0.500, 0.000).

***

Energy relative to the most stable one, in meV per atom: A 0; B 400; C 288; D 277

***

A:
## TeAu2Cl (PBE-GGA)

Data for TeAu2Cl after structural relaxation.

As for the calculated density: 9.69 g/cm³. The crystal system is monoclinic. The magnetic moment is 0.000 μB/f.u.

It has space group P2/m (No. 10), with a = 2.953 Å, b = 6.353 Å, c = 5.095 Å, α = 90.00°, β = 93.25° and γ = 90.00°. The inequivalent atoms are Te at (0.000, 0.000, 0.000), Au at (0.242, 0.500, 0.250) and Cl at (0.000, 0.000, 0.500).

***

B:
## TeAu2Cl (PBE-GGA)

Data for TeAu2Cl after structural relaxation.

As for the calculated density: 10.02 g/cm³. The crystal system is monoclinic. The magnetic moment is 0.000 μB/f.u.

It has space group C2/m (No. 12), with a = 5.547 Å, b = 10.764 Å, c = 3.137 Å, α = 90.00°, β = 99.82° and γ = 90.00°. The inequivalent atoms are Te at (0.000, 0.000, 0.000), Au at (0.250, 0.250, 0.000) and Cl at (0.000, 0.500, 0.000).

***

Energy relative to the most stable one, in meV per atom: A 28; B 0

***

A:
## TeAu2Cl (PBE-GGA)

Data for TeAu2Cl after structural relaxation.

As for the calculated density: 10.61 g/cm³. The crystal system is tetragonal. The magnetic moment is 0.000 μB/f.u.

It has space group P4/mmm (No. 123), with a = 5.261 Å, b = 5.261 Å, c = 3.150 Å, α = 90.00°, β = 90.00° and γ = 90.00°. The inequivalent atoms are Te at (0.000, 0.000, 0.000), Au at (0.000, 0.500, 0.500) and Cl at (0.500, 0.500, 0.000).

***

B:
## TeAu2Cl (PBE-GGA)

Data for TeAu2Cl after structural relaxation.

As for the calculated density: 9.09 g/cm³. The crystal system is orthorhombic. The magnetic moment is 0.000 μB/f.u.

It has space group Cmmm (No. 65), with a = 3.772 Å, b = 6.872 Å, c = 7.848 Å, α = 90.00°, β = 90.00° and γ = 90.00°. The inequivalent atoms are Te at (0.000, 0.000, 0.000), Au at (0.000, 0.500, 0.253) and Cl at (0.000, 0.000, 0.500).

***

C:
## TeAu2Cl (PBE-GGA)

Data for TeAu2Cl after structural relaxation.

As for the calculated density: 9.18 g/cm³. The crystal system is tetragonal. The magnetic moment is 0.000 μB/f.u.

It has space group P4mm (No. 99), with a = 3.793 Å, b = 3.793 Å, c = 7.004 Å, α = 90.00°, β = 90.00° and γ = 90.00°. The inequivalent atoms are Te at (0.000, 0.000, 0.000), Au at (0.000, 0.000, 0.375), Au at (0.500, 0.500, 0.121) and Cl at (0.500, 0.500, 0.569).

***

Energy relative to the most stable one, in meV per atom: A 203; B 35; C 0

***

A:
## TeAu2Cl8 (PBE-GGA)

Data for TeAu2Cl8 after structural relaxation.

As for the calculated density: 3.57 g/cm³. The crystal system is triclinic. The magnetic moment is 0.000 μB/f.u.

It has space group P-1 (No. 2), with a = 6.617 Å, b = 7.461 Å, c = 8.177 Å, α = 77.14°, β = 89.01° and γ = 72.59°. The inequivalent atoms are Te at (0.000, 0.000, 0.000), Au at (0.479, 0.729, 0.356), Cl at (0.202, 0.023, 0.270), Cl at (0.228, 0.666, 0.016), Cl at (0.248, 0.562, 0.545) and Cl at (0.270, 0.132, 0.810).

***

B:
## TeAu2Cl8 (PBE-GGA)

Data for TeAu2Cl8 after structural relaxation.

As for the calculated density: 3.79 g/cm³. The crystal system is monoclinic. The magnetic moment is 0.000 μB/f.u.

It has space group C2/m (No. 12), with a = 12.255 Å, b = 8.287 Å, c = 7.070 Å, α = 90.00°, β = 100.95° and γ = 90.00°. The inequivalent atoms are Te at (0.000, 0.000, 0.000), Au at (0.241, 0.000, 0.758), Cl at (0.079, 0.500, 0.276), Cl at (0.096, 0.198, 0.790) and Cl at (0.172, 0.000, 0.254).

***

Energy relative to the most stable one, in meV per atom: A 0; B 122

***

A:
## Te3AuCl (PBE-GGA)

Data for Te3AuCl after structural relaxation.

As for the calculated density: 6.63 g/cm³. The crystal system is cubic. The magnetic moment is 0.000 μB/f.u.

It has space group Pm-3m (No. 221), with a = 5.361 Å, b = 5.361 Å, c = 5.361 Å, α = 90.00°, β = 90.00° and γ = 90.00°. The inequivalent atoms are Te at (0.000, 0.000, 0.500), Au at (0.500, 0.500, 0.500) and Cl at (0.000, 0.000, 0.000).

***

B:
## Te3AuCl (PBE-GGA)

Data for Te3AuCl after structural relaxation.

As for the calculated density: 6.47 g/cm³. The crystal system is monoclinic. The magnetic moment is 0.000 μB/f.u.

It has space group P2_1/c (No. 14), with a = 9.817 Å, b = 7.035 Å, c = 10.817 Å, α = 90.00°, β = 122.33° and γ = 90.00°. The inequivalent atoms are Te at (0.113, 0.085, 0.420), Te at (0.215, 0.050, 0.137), Te at (0.325, 0.690, 0.899), Au at (0.061, 0.637, 0.373) and Cl at (0.423, 0.529, 0.294).

***

C:
## Te3AuCl (PBE-GGA)

Data for Te3AuCl after structural relaxation.

As for the calculated density: 6.28 g/cm³. The crystal system is cubic. The magnetic moment is 0.000 μB/f.u.

It has space group Pm-3m (No. 221), with a = 5.460 Å, b = 5.460 Å, c = 5.460 Å, α = 90.00°, β = 90.00° and γ = 90.00°. The inequivalent atoms are Te at (0.000, 0.000, 0.500), Au at (0.000, 0.000, 0.000) and Cl at (0.500, 0.500, 0.500).

***

Energy relative to the most stable one, in meV per atom: A 1055; B 0; C 606